DFT (SCAN) results for a crystal of Li3MnN relaxed with PBEsol.

Calculated values
Total energy: -34.52 eV/f.u.
Total magnetization: 5.0 μB per formula unit

Geometry as CIF:
```
data_Li3MnN
_chemical_formula_sum 'Li3 Mn1 N1'
_cell_length_a 3.945
_cell_length_b 3.945
_cell_length_c 3.945
_cell_angle_alpha 90.00
_cell_angle_beta 90.00
_cell_angle_gamma 90.00
_symmetry_space_group_name_H-M 'P m -3 m'
_symmetry_Int_Tables_number 221
_symmetry_space_group_name_Hall '-P 4 2 3'
loop_
_atom_site_label
_atom_site_type_symbol
_atom_site_fract_x
_atom_site_fract_y
_atom_site_fract_z
_atom_site_occupancy
Li1 Li 0.000 0.000 0.500 1
Mn1 Mn 0.500 0.500 0.500 1
N1 N 0.000 0.000 0.000 1
```



DFT (SCAN) results for a crystal of InHg2Cl relaxed with PBEsol.

Calculated values
Total energy: -179.17 eV/f.u.
Energy relative to the lowest polymorph listed for this composition: 24 meV/atom
Total magnetization: 0.0 μB per formula unit

Geometry as CIF:
```
data_InHg2Cl
_chemical_formula_sum 'In1 Hg2 Cl1'
_cell_length_a 4.296
_cell_length_b 4.296
_cell_length_c 5.518
_cell_angle_alpha 90.00
_cell_angle_beta 90.00
_cell_angle_gamma 90.00
_symmetry_space_group_name_H-M 'P 4/m m m'
_symmetry_Int_Tables_number 123
_symmetry_space_group_name_Hall '-P 4 2'
loop_
_atom_site_label
_atom_site_type_symbol
_atom_site_fract_x
_atom_site_fract_y
_atom_site_fract_z
_atom_site_occupancy
In1 In 0.000 0.000 0.000 1
Hg1 Hg 0.000 0.500 0.500 1
Cl1 Cl 0.500 0.500 0.000 1
```



DFT (SCAN) results for a crystal of CaTlPS2 relaxed with PBEsol.

Calculated values
Total energy: -111.46 eV/f.u.
Total magnetization: 1.5 μB per formula unit

Geometry as CIF:
```
data_CaTlPS2
_chemical_formula_sum 'Ca1 Tl1 P1 S2'
_cell_length_a 5.112
_cell_length_b 5.112
_cell_length_c 4.939
_cell_angle_alpha 90.00
_cell_angle_beta 90.00
_cell_angle_gamma 90.00
_symmetry_space_group_name_H-M 'P 4/m m m'
_symmetry_Int_Tables_number 123
_symmetry_space_group_name_Hall '-P 4 2'
loop_
_atom_site_label
_atom_site_type_symbol
_atom_site_fract_x
_atom_site_fract_y
_atom_site_fract_z
_atom_site_occupancy
Ca1 Ca 0.000 0.000 0.000 1
Tl1 Tl 0.500 0.500 0.500 1
P1 P 0.500 0.500 0.000 1
S1 S 0.000 0.500 0.500 1
```